# Cd2SbMo (PBE-GGA, relaxed)
data_Cd2SbMo
_chemical_formula_sum 'Cd2 Sb1 Mo1'
_symmetry_space_group_name_H-M 'P 1'
_symmetry_Int_Tables_number 1
_symmetry_space_group_name_Hall 'P 1'
_cell_length_a 2.9899
_cell_length_b 4.9059
_cell_length_c 5.6634
_cell_angle_alpha 90.00
_cell_angle_beta 90.00
_cell_angle_gamma 90.00
loop_
_atom_site_label
_atom_site_fract_x
_atom_site_fract_y
_atom_site_fract_z
_atom_site_occupancy
Cd1 0.0000 0.0000 0.2377 1
Cd2 0.0000 0.0000 0.7623 1
Sb1 0.5000 0.5000 0.5000 1
Mo1 0.5000 0.5000 0.0000 1
# - Mass density: 8846 kg/m3
# - ΔE_f (raw): 500 meV per atom
# - Magnetization: 0.00 Bohr magnetons per cell